P:
The following is a PBEsol calculation of an optimized crystal structure of CdSbW2, from Alexandria. Values from VASP.

```
&SYSTEM
  ibrav = 0, nat = 4, ntyp = 3
/
ATOMIC_SPECIES
Cd 112.41 Cd.upf
Sb 121.76 Sb.upf
W 183.84 W.upf
CELL_PARAMETERS angstrom
0.000 3.301 3.301
3.301 0.000 3.301
3.301 3.301 0.000
ATOMIC_POSITIONS angstrom
Cd 0.000 0.000 0.000
Sb 1.650 1.650 1.650
W 3.301 3.301 3.301
W 4.951 4.951 4.951
```

Calculated values
Mass density in g cm⁻³: 13.90



Q:
The following is a PBEsol calculation of an optimized crystal structure of CdSbW2, from Alexandria. Values from VASP.

```
&SYSTEM
  ibrav = 0, nat = 4, ntyp = 3
/
ATOMIC_SPECIES
Cd 112.41 Cd.upf
Sb 121.76 Sb.upf
W 183.84 W.upf
CELL_PARAMETERS angstrom
4.915 -1.616 0.000
4.915 1.616 0.000
-1.596 0.000 4.665
ATOMIC_POSITIONS angstrom
Cd 0.000 0.000 0.000
Sb 7.132 0.000 1.511
W 1.091 0.000 3.711
W 4.470 0.000 2.509
```

Calculated values
Mass density in g cm⁻³: 13.48



Each structure's energy above the most stable one, in meV per atom: P 181; Q 0.